(1)
In2SbSeN: optimized geometry, PBE.

Cell lengths 5.5558, 5.5558, 5.3868 Å; angles 90.00, 90.00, 90.00 degrees
Sites, in units of the cell vectors:
1 In 0.0000 0.5000 0.0000
2 In 0.5000 0.0000 0.0000
3 Sb 0.0000 0.0000 0.5000
4 Se 0.0000 0.0000 0.0000
5 N 0.5000 0.5000 0.5000

Computed properties:
**Magnetic moment**: 0.00 μB per formula unit
**Symmetry**: P4/mmm (123)
**DFT total energy**: -2.757 eV per atom
**Formation energy without anion corrections**: 735.7 kJ/mol of formula units

(2)
V2HgTe2: optimized geometry, PBE.

Cell lengths 7.4336, 7.4336, 3.6126 Å; angles 90.00, 90.00, 90.00 degrees
Sites, in units of the cell vectors:
1 V 0.1303 0.3697 0.0000
2 V 0.3697 0.8697 0.0000
3 V 0.6303 0.1303 0.0000
4 V 0.8697 0.6303 0.0000
5 Hg 0.0000 0.0000 0.0000
6 Hg 0.5000 0.5000 0.0000
7 Te 0.1554 0.6554 0.5000
8 Te 0.3446 0.1554 0.5000
9 Te 0.6554 0.8446 0.5000
10 Te 0.8446 0.3446 0.5000

Computed properties:
**Magnetic moment**: 0.00 μB per formula unit
**Symmetry**: P4/mbm (127)
**DFT total energy**: -4.865 eV per atom
**Formation energy without anion corrections**: 48.2 kJ/mol of formula units

(3)
KAlIn2: optimized geometry, PBE.

Cell lengths 3.3644, 4.2681, 8.1529 Å; angles 90.00, 90.00, 90.00 degrees
Sites, in units of the cell vectors:
1 K 0.0000 0.0000 0.0000
2 Al 0.5000 0.5000 0.3074
3 In 0.0000 0.0000 0.4612
4 In 0.5000 0.5000 0.6859

Computed properties:
**Magnetic moment**: 0.00 μB per formula unit
**Symmetry**: Pmm2 (25)
**Formation enthalpy at 0 K**: 0.28 eV per formula unit
**DFT total energy**: -2.510 eV per atom

(4)
Ce2Nb2Ge2N: optimized geometry, PBE.

Cell lengths 8.2825, 8.2825, 8.2825 Å; angles 150.15, 150.15, 42.72 degrees
Sites, in units of the cell vectors:
1 Ce 0.1658 0.1658 0.0000
2 Ce 0.8342 0.8342 0.0000
3 Nb 0.0000 0.5000 0.5000
4 Nb 0.5000 0.0000 0.5000
5 Ge 0.3752 0.3752 0.0000
6 Ge 0.6248 0.6248 0.0000
7 N 0.0000 0.0000 0.0000

Computed properties:
**Magnetic moment**: 2.02 μB per formula unit
**Symmetry**: I4/mmm (139)
**DFT total energy**: -7.914 eV per atom
**Formation energy without anion corrections**: -562.8 kJ/mol of formula units

(5)
Dy9Ho11Er4: optimized geometry, PBE.

Cell lengths 14.9719, 14.9719, 3.6285 Å; angles 90.00, 90.00, 112.97 degrees
Sites, in units of the cell vectors:
1 Dy 0.0000 0.0000 0.0000
2 Dy 0.1314 0.6640 0.0000
3 Dy 0.2858 0.4313 0.0000
4 Dy 0.3360 0.8686 0.0000
5 Dy 0.4313 0.2858 0.0000
6 Dy 0.5687 0.7142 0.0000
7 Dy 0.6640 0.1314 0.0000
8 Dy 0.7142 0.5687 0.0000
9 Dy 0.8686 0.3360 0.0000
10 Ho 0.0931 0.4551 0.5000
11 Ho 0.1326 0.8674 0.5000
12 Ho 0.2076 0.2076 0.5000
13 Ho 0.3402 0.6598 0.5000
14 Ho 0.4551 0.0931 0.5000
15 Ho 0.5000 0.5000 0.5000
16 Ho 0.5449 0.9069 0.5000
17 Ho 0.6598 0.3402 0.5000
18 Ho 0.7924 0.7924 0.5000
19 Ho 0.8674 0.1326 0.5000
20 Ho 0.9069 0.5449 0.5000
21 Er 0.0541 0.2561 0.0000
22 Er 0.2561 0.0541 0.0000
23 Er 0.7439 0.9459 0.0000
24 Er 0.9459 0.7439 0.0000

Computed properties:
**Magnetic moment**: 0.01 μB per formula unit
**Symmetry**: Cmmm (65)
**Formation enthalpy at 0 K**: 1.19 eV per formula unit
**DFT total energy**: -4.535 eV per atom

(6)
CsPuCu2Se4: optimized geometry, PBE.

Cell lengths 7.2644, 7.2644, 7.2644 Å; angles 125.96, 105.49, 98.38 degrees
Sites, in units of the cell vectors:
1 Cs 0.0000 0.0000 0.0000
2 Pu 0.5000 0.5000 0.0000
3 Cu 0.3702 0.8702 0.5000
4 Cu 0.6298 0.1298 0.5000
5 Se 0.1619 0.0864 0.5866
6 Se 0.4998 0.5752 0.4134
7 Se 0.5002 0.9136 0.0755
8 Se 0.8381 0.4248 0.9245

Computed properties:
**Magnetic moment**: 2.94 μB per formula unit
**Symmetry**: I222 (23)
**DFT total energy**: -5.202 eV per atom
**Formation energy without anion corrections**: -414.9 kJ/mol of formula units

(7)
Mn2ReCl: optimized geometry, PBE.

Cell lengths 4.2893, 4.2893, 4.2893 Å; angles 60.00, 60.00, 60.00 degrees
Sites, in units of the cell vectors:
1 Mn 0.0000 0.0000 0.0000
2 Mn 0.2500 0.2500 0.2500
3 Re 0.5000 0.5000 0.5000
4 Cl 0.7500 0.7500 0.7500

Computed properties:
**Magnetic moment**: 4.98 μB per formula unit
**Symmetry**: F-43m (216)
**DFT total energy**: -7.210 eV per atom
**Formation energy without anion corrections**: 366.1 kJ/mol of formula units

(8)
Be2CoRe: optimized geometry, PBE.

Cell lengths 3.6315, 3.6315, 3.1833 Å; angles 90.00, 90.00, 90.00 degrees
Sites, in units of the cell vectors:
1 Be 0.0000 0.5000 0.0000
2 Be 0.5000 0.0000 0.0000
3 Co 0.0000 0.0000 0.5000
4 Re 0.5000 0.5000 0.5000

Computed properties:
**Magnetic moment**: 1.66 μB per formula unit
**Symmetry**: P4/mmm (123)
**Formation enthalpy at 0 K**: -0.05 eV per formula unit
**DFT total energy**: -6.765 eV per atom

(9)
Li4Ho3ScTe8: optimized geometry, PBE.

Cell lengths 8.6031, 8.6031, 8.6031 Å; angles 59.79, 59.79, 59.79 degrees
Sites, in units of the cell vectors:
1 Li 0.0000 0.0000 0.0000
2 Li 0.0000 0.5000 0.5000
3 Li 0.5000 0.0000 0.5000
4 Li 0.5000 0.5000 0.0000
5 Ho 0.0000 0.0000 0.5000
6 Ho 0.0000 0.5000 0.0000
7 Ho 0.5000 0.0000 0.0000
8 Sc 0.5000 0.5000 0.5000
9 Te 0.2521 0.2521 0.2521
10 Te 0.2546 0.2546 0.7406
11 Te 0.2546 0.7406 0.2546
12 Te 0.2594 0.7454 0.7454
13 Te 0.7406 0.2546 0.2546
14 Te 0.7454 0.2594 0.7454
15 Te 0.7454 0.7454 0.2594
16 Te 0.7479 0.7479 0.7479

Computed properties:
**Magnetic moment**: 0.00 μB per formula unit
**Symmetry**: R-3m (166)
**DFT total energy**: -4.558 eV per atom
**Formation energy without anion corrections**: -1937.3 kJ/mol of formula units

(10)
HfPa3N7: optimized geometry, PBE.

Cell lengths 6.5143, 6.5143, 7.6032 Å; angles 90.00, 90.00, 107.86 degrees
Sites, in units of the cell vectors:
1 Hf 0.0000 0.0000 0.0000
2 Hf 0.0000 0.0000 0.5000
3 Pa 0.0038 0.5334 0.7500
4 Pa 0.4666 0.9962 0.7500
5 Pa 0.5000 0.5000 0.0000
6 Pa 0.5000 0.5000 0.5000
7 Pa 0.5334 0.0038 0.2500
8 Pa 0.9962 0.4666 0.2500
9 N 0.0925 0.9075 0.7500
10 N 0.1022 0.3528 0.5236
11 N 0.1022 0.3528 0.9764
12 N 0.3528 0.1022 0.0236
13 N 0.3528 0.1022 0.4764
14 N 0.3666 0.6334 0.7500
15 N 0.3704 0.6296 0.2500
16 N 0.6296 0.3704 0.7500
17 N 0.6334 0.3666 0.2500
18 N 0.6472 0.8978 0.5236
19 N 0.6472 0.8978 0.9764
20 N 0.8978 0.6472 0.0236
21 N 0.8978 0.6472 0.4764
22 N 0.9075 0.0925 0.2500

Computed properties:
**Magnetic moment**: 0.00 μB per formula unit
**Symmetry**: Cmcm (63)
**DFT total energy**: -10.205 eV per atom
**Formation energy without anion corrections**: -1498.9 kJ/mol of formula units

(11)
Mn3OsC: optimized geometry, PBE.

Cell lengths 4.6720, 4.6720, 4.6720 Å; angles 90.00, 90.00, 90.00 degrees
Sites, in units of the cell vectors:
1 Mn 0.0000 0.0000 0.5000
2 Mn 0.0000 0.5000 0.0000
3 Mn 0.5000 0.0000 0.0000
4 Os 0.0000 0.0000 0.0000
5 C 0.5000 0.5000 0.5000

Computed properties:
**Magnetic moment**: 9.18 μB per formula unit
**Symmetry**: Pm-3m (221)
**Formation enthalpy at 0 K**: 11.77 eV per formula unit
**DFT total energy**: -7.238 eV per atom

(12)
SrBe2Mo: optimized geometry, PBE.

Cell lengths 3.2249, 3.2249, 6.5239 Å; angles 90.00, 90.00, 90.00 degrees
Sites, in units of the cell vectors:
1 Sr 0.0000 0.0000 0.0000
2 Be 0.5000 0.5000 0.3449
3 Be 0.5000 0.5000 0.6551
4 Mo 0.0000 0.0000 0.5000

Computed properties:
**Magnetic moment**: 0.00 μB per formula unit
**Symmetry**: P4/mmm (123)
**Formation enthalpy at 0 K**: 1.51 eV per formula unit
**DFT total energy**: -4.613 eV per atom

(13)
Th3Ni2Ge2: optimized geometry, PBE.

Cell lengths 9.5930, 9.5930, 9.5930 Å; angles 155.58, 154.73, 35.43 degrees
Sites, in units of the cell vectors:
1 Th 0.0000 0.0000 0.0000
2 Th 0.3166 0.8166 0.5000
3 Th 0.6834 0.1834 0.5000
4 Ni 0.4341 0.4341 0.0000
5 Ni 0.5659 0.5659 0.0000
6 Ge 0.1375 0.6375 0.5000
7 Ge 0.8625 0.3625 0.5000

Computed properties:
**Magnetic moment**: 0.00 μB per formula unit
**Symmetry**: Immm (71)
**Formation enthalpy at 0 K**: -4.67 eV per formula unit
**DFT total energy**: -6.819 eV per atom

(14)
ZnInFe2: optimized geometry, PBE.

Cell lengths 5.0568, 5.0568, 5.0568 Å; angles 142.59, 129.89, 64.18 degrees
Sites, in units of the cell vectors:
1 Zn 0.0000 0.0000 0.0000
2 In 0.7271 0.2271 0.5000
3 Fe 0.2546 0.7546 0.5000
4 Fe 0.4609 0.4609 0.0000

Computed properties:
**Magnetic moment**: 4.83 μB per formula unit
**Symmetry**: Imm2 (44)
**Formation enthalpy at 0 K**: 0.67 eV per formula unit
**DFT total energy**: -5.067 eV per atom

(15)
CoNi2Os: optimized geometry, PBE.

Cell lengths 4.4149, 4.4149, 4.4149 Å; angles 132.27, 132.27, 69.81 degrees
Sites, in units of the cell vectors:
1 Co 0.0000 0.0000 0.0000
2 Ni 0.2500 0.7500 0.5000
3 Ni 0.5000 0.5000 0.0000
4 Os 0.7500 0.2500 0.5000

Computed properties:
**Magnetic moment**: 0.00 μB per formula unit
**Symmetry**: I-4m2 (119)
**Formation enthalpy at 0 K**: 0.42 eV per formula unit
**DFT total energy**: -7.370 eV per atom

(16)
SrNbPbO2: optimized geometry, PBE.

Cell lengths 4.5128, 4.5128, 6.3835 Å; angles 90.00, 90.00, 90.00 degrees
Sites, in units of the cell vectors:
1 Sr 0.0000 0.0000 0.0000
2 Nb 0.5000 0.5000 0.0000
3 Pb 0.0000 0.0000 0.5000
4 O 0.0000 0.5000 0.5000
5 O 0.5000 0.0000 0.5000

Computed properties:
**Magnetic moment**: 4.14 μB per formula unit
**Symmetry**: P4/mmm (123)
**DFT total energy**: -4.264 eV per atom
**Formation energy without anion corrections**: 391.2 kJ/mol of formula units

(17)
CeTl2Re3O12: optimized geometry, PBE.

Cell lengths 7.6718, 7.6718, 7.6718 Å; angles 57.55, 57.55, 57.55 degrees
Sites, in units of the cell vectors:
1 Ce 0.0000 0.0000 0.0000
2 Tl 0.3402 0.3402 0.3402
3 Tl 0.6598 0.6598 0.6598
4 Re 0.0000 0.0000 0.5000
5 Re 0.0000 0.5000 0.0000
6 Re 0.5000 0.0000 0.0000
7 O 0.0673 0.7023 0.7023
8 O 0.0789 0.0789 0.6389
9 O 0.0789 0.6389 0.0789
10 O 0.2977 0.2977 0.9327
11 O 0.2977 0.9327 0.2977
12 O 0.3611 0.9211 0.9211
13 O 0.6389 0.0789 0.0789
14 O 0.7023 0.0673 0.7023
15 O 0.7023 0.7023 0.0673
16 O 0.9211 0.3611 0.9211
17 O 0.9211 0.9211 0.3611
18 O 0.9327 0.2977 0.2977

Computed properties:
**Magnetic moment**: 2.63 μB per formula unit
**Symmetry**: R-3m (166)
**DFT total energy**: -7.679 eV per atom
**Formation energy without anion corrections**: -2963.3 kJ/mol of formula units

(18)
U2IrPt: optimized geometry, PBE.

Cell lengths 4.6870, 4.6870, 4.6870 Å; angles 60.00, 60.00, 60.00 degrees
Sites, in units of the cell vectors:
1 U 0.0000 0.0000 0.0000
2 U 0.2500 0.2500 0.2500
3 Ir 0.5000 0.5000 0.5000
4 Pt 0.7500 0.7500 0.7500

Computed properties:
**Magnetic moment**: 3.07 μB per formula unit
**Symmetry**: F-43m (216)
**Formation enthalpy at 0 K**: -2.74 eV per formula unit
**DFT total energy**: -10.053 eV per atom

(19)
Na3Mn5Se12: optimized geometry, PBE.

Cell lengths 13.4984, 13.4984, 13.4984 Å; angles 109.47, 109.47, 109.47 degrees
Sites, in units of the cell vectors:
1 Na 0.1250 0.2500 0.3750
2 Na 0.1250 0.3750 0.7500
3 Na 0.2500 0.3750 0.1250
4 Na 0.2500 0.8750 0.6250
5 Na 0.3750 0.1250 0.2500
6 Na 0.3750 0.7500 0.1250
7 Na 0.6250 0.2500 0.8750
8 Na 0.6250 0.8750 0.7500
9 Na 0.7500 0.1250 0.3750
10 Na 0.7500 0.6250 0.8750
11 Na 0.8750 0.6250 0.2500
12 Na 0.8750 0.7500 0.6250
13 Mn 0.0000 0.0000 0.0000
14 Mn 0.0000 0.0000 0.5000
15 Mn 0.0000 0.5000 0.0000
16 Mn 0.0000 0.5000 0.5000
17 Mn 0.1250 0.7500 0.8750
18 Mn 0.1250 0.8750 0.2500
19 Mn 0.2500 0.1250 0.8750
20 Mn 0.2500 0.6250 0.3750
21 Mn 0.3750 0.2500 0.6250
22 Mn 0.3750 0.6250 0.7500
23 Mn 0.5000 0.0000 0.0000
24 Mn 0.5000 0.0000 0.5000
25 Mn 0.5000 0.5000 0.0000
26 Mn 0.5000 0.5000 0.5000
27 Mn 0.6250 0.3750 0.2500
28 Mn 0.6250 0.7500 0.3750
29 Mn 0.7500 0.3750 0.6250
30 Mn 0.7500 0.8750 0.1250
31 Mn 0.8750 0.1250 0.7500
32 Mn 0.8750 0.2500 0.1250
33 Se 0.0220 0.2055 0.1034
34 Se 0.0220 0.3165 0.9186
35 Se 0.0814 0.6034 0.3979
36 Se 0.0814 0.9780 0.6835
37 Se 0.1021 0.7055 0.6835
38 Se 0.1021 0.8966 0.4186
39 Se 0.1034 0.0220 0.2055
40 Se 0.1034 0.5814 0.8979
41 Se 0.1835 0.2055 0.6021
42 Se 0.1835 0.4780 0.5814
43 Se 0.2055 0.1034 0.0220
44 Se 0.2055 0.6021 0.1835
45 Se 0.2945 0.3165 0.8979
46 Se 0.2945 0.4780 0.3966
47 Se 0.3165 0.8979 0.2945
48 Se 0.3165 0.9186 0.0220
49 Se 0.3966 0.2945 0.4780
50 Se 0.3966 0.6021 0.9186
51 Se 0.3979 0.0814 0.6034
52 Se 0.3979 0.8165 0.7945
53 Se 0.4186 0.1021 0.8966
54 Se 0.4186 0.8165 0.5220
55 Se 0.4780 0.3966 0.2945
56 Se 0.4780 0.5814 0.1835
57 Se 0.5220 0.4186 0.8165
58 Se 0.5220 0.6034 0.7055
59 Se 0.5814 0.1835 0.4780
60 Se 0.5814 0.8979 0.1034
61 Se 0.6021 0.1835 0.2055
62 Se 0.6021 0.9186 0.3966
63 Se 0.6034 0.3979 0.0814
64 Se 0.6034 0.7055 0.5220
65 Se 0.6835 0.0814 0.9780
66 Se 0.6835 0.1021 0.7055
67 Se 0.7055 0.5220 0.6034
68 Se 0.7055 0.6835 0.1021
69 Se 0.7945 0.3979 0.8165
70 Se 0.7945 0.8966 0.9780
71 Se 0.8165 0.5220 0.4186
72 Se 0.8165 0.7945 0.3979
73 Se 0.8966 0.4186 0.1021
74 Se 0.8966 0.9780 0.7945
75 Se 0.8979 0.1034 0.5814
76 Se 0.8979 0.2945 0.3165
77 Se 0.9186 0.0220 0.3165
78 Se 0.9186 0.3966 0.6021
79 Se 0.9780 0.6835 0.0814
80 Se 0.9780 0.7945 0.8966

Computed properties:
**Magnetic moment**: 14.00 μB per formula unit
**Symmetry**: Ia-3d (230)
**DFT total energy**: -4.991 eV per atom
**Formation energy without anion corrections**: -790.3 kJ/mol of formula units